DFT (GGA-PBE) results for a relaxed Pm4SbSe2 crystal.

E_tot	-79.51	eV/cell
raw formation energy	-1.380	eV per atom

Unit cell a=4.231 b=7.180 c=14.090 alpha=90.00 beta=90.00 gamma=107.14
Element x y z (fractional)
Sb  0.395  0.790  0.250
Sb  0.605  0.210  0.750
Se  0.863  0.727  0.561
Se  0.137  0.273  0.439
Se  0.137  0.273  0.061
Se  0.863  0.727  0.939
Pm  0.500  0.000  0.500
Pm  0.228  0.455  0.622
Pm  0.772  0.545  0.378
Pm  0.772  0.545  0.122
Pm  0.228  0.455  0.878
Pm  0.500  0.000  0.000
Pm  0.938  0.877  0.750
Pm  0.062  0.123  0.250